First-principles (GGA+U) data for a geometry-optimized CoCuAuF6 structure, as listed in Alexandria via LeMat-Bulk.

Geometry as CIF:
```
data_CoCuAuF6
_chemical_formula_sum 'Co2 Cu2 Au2 F12'
_symmetry_space_group_name_H-M 'P -3 1 c'
_symmetry_Int_Tables_number 163
_symmetry_space_group_name_Hall '-P 3 2c'
_cell_length_a 5.2577
_cell_length_b 5.2577
_cell_length_c 10.1660
_cell_angle_alpha 90.00
_cell_angle_beta 90.00
_cell_angle_gamma 120.00
loop_
_atom_site_label
_atom_site_type_symbol
_atom_site_fract_x
_atom_site_fract_y
_atom_site_fract_z
Co1 Co 0.3333 0.6667 0.2500
Cu1 Cu 0.3333 0.6667 0.7500
Au1 Au 0.0000 0.0000 0.0000
F1 F 0.0266 0.3760 0.1472
```

Results
- total energy (eV/atom) = -3.980
- density of states at the Fermi level (states/eV/cell) = 8.92